Entry 1:
Hf2NpTi | GGA-PBE | relaxed

As for the crystal system: cubic. For the density of states at the Fermi level, the calculation gives 42.406 states/eV/cell. The value obtained for the formation energy is 335 meV/atom. Its total energy is -39.4 eV/f.u. As for the total magnetization: 12.88 μB per cell.

The structure belongs to space group Fm-3m (No. 225); the cell edges are 6.939, 6.939 and 6.939 Å and the angles 90.00°, 90.00° and 90.00°. Symmetry generates all atoms from Hf at (0.250, 0.250, 0.250), Np at (0.000, 0.000, 0.000) and Ti at (0.000, 0.000, 0.500).

Entry 2:
HfNpTi | GGA-PBE | relaxed

As for the crystal system: trigonal. For the density of states at the Fermi level, the calculation gives 31.894 states/eV/cell. The value obtained for the formation energy is 266 meV/atom. Its total energy is -30.0 eV/f.u. As for the total magnetization: 0.00 μB per cell.

The structure belongs to space group R-3m (No. 166, hexagonal axes); the cell edges are 3.1511, 3.1511 and 42.1098 Å and the angles 90.00°, 90.00° and 120.00°. Symmetry generates all atoms from Hf at (0.0000, 0.0000, 0.0837), Np at (0.0000, 0.0000, 0.3542) and Ti at (0.0000, 0.0000, 0.1928).

Entry 3:
HfNpTi2 | GGA-PBE | relaxed

As for the crystal system: tetragonal. For the density of states at the Fermi level, the calculation gives 7.602 states/eV/cell. For the energy above the most stable polymorph in this dataset, the calculation gives 0.000 eV per atom. The value obtained for the formation energy is 244 meV/atom. Its total energy is -37.7 eV/f.u. As for the total magnetization: 3.25 μB per cell.

The structure belongs to space group P4/mmm (No. 123); the cell edges are 3.318, 3.318 and 6.977 Å and the angles 90.00°, 90.00° and 90.00°. Symmetry generates all atoms from Hf at (0.000, 0.000, 0.000), Np at (0.000, 0.000, 0.500) and Ti at (0.500, 0.500, 0.274).

Entry 4:
HfNpTi2 | GGA-PBE | relaxed

As for the crystal system: tetragonal. For the density of states at the Fermi level, the calculation gives 8.648 states/eV/cell. For the energy above the most stable polymorph in this dataset, the calculation gives 0.013 eV per atom. The value obtained for the formation energy is 257 meV/atom. Its total energy is -37.7 eV/f.u. As for the total magnetization: 4.58 μB per cell.

The structure belongs to space group P4/mmm (No. 123); the cell edges are 5.028, 5.028 and 3.110 Å and the angles 90.00°, 90.00° and 90.00°. Symmetry generates all atoms from Hf at (0.000, 0.000, 0.000), Np at (0.500, 0.500, 0.000) and Ti at (0.000, 0.500, 0.500).

Entry 5:
HfNpTiZn | GGA-PBE | relaxed

As for the crystal system: cubic. For the density of states at the Fermi level, the calculation gives 42.241 states/eV/cell. The value obtained for the formation energy is 329 meV/atom. Its total energy is -30.7 eV/f.u. As for the total magnetization: 20.21 μB per cell.

The structure belongs to space group F-43m (No. 216); the cell edges are 6.744, 6.744 and 6.744 Å and the angles 90.00°, 90.00° and 90.00°. Symmetry generates all atoms from Hf at (0.000, 0.000, 0.000), Np at (0.250, 0.250, 0.750), Ti at (0.000, 0.000, 0.500) and Zn at (0.250, 0.250, 0.250).

Entry 6:
TmHf2Np | GGA-PBE | relaxed

As for the crystal system: trigonal. For the density of states at the Fermi level, the calculation gives 25.600 states/eV/cell. For the energy above the most stable polymorph in this dataset, the calculation gives 0.111 eV per atom. The value obtained for the formation energy is 454 meV/atom. Its total energy is -35.5 eV/f.u. As for the total magnetization: 9.97 μB per cell.

The structure belongs to space group R-3m (No. 166, hexagonal axes); the cell edges are 3.1907, 3.1907 and 33.7358 Å and the angles 90.00°, 90.00° and 120.00°. Symmetry generates all atoms from Tm at (0.0000, 0.0000, 0.0000), Hf at (0.0000, 0.0000, 0.0920) and Np at (0.0000, 0.0000, 0.5000).

Entry 7:
TmHf2Np | GGA-PBE | relaxed

As for the crystal system: tetragonal. For the density of states at the Fermi level, the calculation gives 8.032 states/eV/cell. For the energy above the most stable polymorph in this dataset, the calculation gives 0.000 eV per atom. The value obtained for the formation energy is 343 meV/atom. Its total energy is -35.9 eV/f.u. As for the total magnetization: 3.80 μB per cell.

The structure belongs to space group P4/mmm (No. 123); the cell edges are 3.721, 3.721 and 7.036 Å and the angles 90.00°, 90.00° and 90.00°. Symmetry generates all atoms from Tm at (0.000, 0.000, 0.000), Hf at (0.500, 0.500, 0.287) and Np at (0.000, 0.000, 0.500).

Entry 8:
HfNpV2 | GGA-PBE | relaxed

As for the crystal system: tetragonal. For the density of states at the Fermi level, the calculation gives 6.293 states/eV/cell. The value obtained for the formation energy is 244 meV/atom. Its total energy is -40.2 eV/f.u. As for the total magnetization: 1.68 μB per cell.

The structure belongs to space group P4/mmm (No. 123); the cell edges are 3.213, 3.213 and 6.655 Å and the angles 90.00°, 90.00° and 90.00°. Symmetry generates all atoms from Hf at (0.000, 0.000, 0.000), Np at (0.000, 0.000, 0.500) and V at (0.500, 0.500, 0.283).

Entry 9:
HfNpW | GGA-PBE | relaxed

As for the crystal system: trigonal. For the density of states at the Fermi level, the calculation gives 94.698 states/eV/cell. The value obtained for the formation energy is 152 meV/atom. Its total energy is -35.4 eV/f.u. As for the total magnetization: 3.77 μB per cell.

The structure belongs to space group R-3m (No. 166, hexagonal axes); the cell edges are 5.4977, 5.4977 and 39.9845 Å and the angles 90.00°, 90.00° and 120.00°. Symmetry generates all atoms from Hf at (0.0000, 0.0000, 0.0386), Hf at (0.0000, 0.0000, 0.1815), Hf at (0.0000, 0.0000, 0.2686), Np at (0.0368, 0.5184, 0.7770), W at (0.0000, 0.0000, 0.3887), W at (0.0000, 0.0000, 0.5000) and W at (0.0000, 0.5000, 0.0000).

Entry 10:
Hf2NpZn | GGA-PBE | relaxed

As for the crystal system: tetragonal. For the density of states at the Fermi level, the calculation gives 7.553 states/eV/cell. For the energy above the most stable polymorph in this dataset, the calculation gives 0.089 eV per atom. The value obtained for the formation energy is 195 meV/atom. Its total energy is -33.3 eV/f.u. As for the total magnetization: 3.57 μB per cell.

The structure belongs to space group P4/mmm (No. 123); the cell edges are 4.483, 4.483 and 4.050 Å and the angles 90.00°, 90.00° and 90.00°. Symmetry generates all atoms from Hf at (0.000, 0.500, 0.000), Np at (0.000, 0.000, 0.500) and Zn at (0.500, 0.500, 0.500).

Entry 11:
Hf2NpZn | GGA-PBE | relaxed

As for the crystal system: tetragonal. For the density of states at the Fermi level, the calculation gives 7.064 states/eV/cell. For the energy above the most stable polymorph in this dataset, the calculation gives 0.000 eV per atom. The value obtained for the formation energy is 105 meV/atom. Its total energy is -33.7 eV/f.u. As for the total magnetization: 3.78 μB per cell.

The structure belongs to space group P4/mmm (No. 123); the cell edges are 3.162, 3.162 and 8.251 Å and the angles 90.00°, 90.00° and 90.00°. Symmetry generates all atoms from Hf at (0.000, 0.000, 0.223), Np at (0.500, 0.500, 0.500) and Zn at (0.500, 0.500, 0.000).

Entry 12:
Hf2NpZn | GGA-PBE | relaxed

As for the crystal system: trigonal. For the density of states at the Fermi level, the calculation gives 20.903 states/eV/cell. For the energy above the most stable polymorph in this dataset, the calculation gives 0.075 eV per atom. The value obtained for the formation energy is 181 meV/atom. Its total energy is -33.4 eV/f.u. As for the total magnetization: 10.22 μB per cell.

The structure belongs to space group R-3m (No. 166, hexagonal axes); the cell edges are 3.1713, 3.1713 and 28.9576 Å and the angles 90.00°, 90.00° and 120.00°. Symmetry generates all atoms from Hf at (0.0000, 0.0000, 0.2450), Np at (0.0000, 0.0000, 0.0000) and Zn at (0.0000, 0.0000, 0.5000).

Which formula does entry 10 have? Hf2NpZn

Please write out number 9 again, unchanged.
HfNpW | GGA-PBE | relaxed

As for the crystal system: trigonal. For the density of states at the Fermi level, the calculation gives 94.698 states/eV/cell. The value obtained for the formation energy is 152 meV/atom. Its total energy is -35.4 eV/f.u. As for the total magnetization: 3.77 μB per cell.

The structure belongs to space group R-3m (No. 166, hexagonal axes); the cell edges are 5.4977, 5.4977 and 39.9845 Å and the angles 90.00°, 90.00° and 120.00°. Symmetry generates all atoms from Hf at (0.0000, 0.0000, 0.0386), Hf at (0.0000, 0.0000, 0.1815), Hf at (0.0000, 0.0000, 0.2686), Np at (0.0368, 0.5184, 0.7770), W at (0.0000, 0.0000, 0.3887), W at (0.0000, 0.0000, 0.5000) and W at (0.0000, 0.5000, 0.0000).

Which of these has the highest density of states at the Fermi level? HfNpW

Which formula does entry 4 have? HfNpTi2